(1)
Here is an optimized crystal structure of Ta2SiPb from Alexandria. Energies are from PBE.

POSCAR file:
```
Ta2SiPb
1.0
-2.041 2.041 4.469
2.041 -2.041 4.469
2.041 2.041 -4.469
Ta Si Pb
2 1 1
direct
0.000 0.000 0.000
0.750 0.250 0.500
0.500 0.500 0.000
0.250 0.750 0.500
```

Output
Calculated total energy ... -31.040 eV for the cell shown
Symmetry ... I-4m2
Crystal system ... tetragonal
Magnetic moment ... 0.000 μB/cell
Energy above the most stable polymorph in this dataset ... 299 meV/atom

---

(2)
Here is an optimized crystal structure of Ta2SiPb from Alexandria. Energies are from PBE.

POSCAR file:
```
Ta2SiPb
1.0
1.917 -2.453 0.000
1.917 2.453 0.000
0.000 0.000 8.028
Ta Si Pb
2 1 1
direct
0.000 0.000 0.209
0.000 0.000 0.791
0.500 0.500 0.000
0.500 0.500 0.500
```

Output
Calculated total energy ... -31.984 eV for the cell shown
Symmetry ... Cmmm
Crystal system ... orthorhombic
Magnetic moment ... 0.000 μB/cell
Energy above the most stable polymorph in this dataset ... 63 meV/atom

---

(3)
Here is an optimized crystal structure of TaSi2Pb from Alexandria. Energies are from PBE.

POSCAR file:
```
TaSi2Pb
1.0
-1.983 1.983 4.819
1.983 -1.983 4.819
1.983 1.983 -4.819
Ta Si Pb
1 2 1
direct
0.000 0.000 0.000
0.500 0.500 0.000
0.750 0.250 0.500
0.250 0.750 0.500
```

Output
Calculated total energy ... -23.950 eV for the cell shown
Symmetry ... I-4m2
Crystal system ... tetragonal
Magnetic moment ... 0.000 μB/cell

---

(4)
Here is an optimized crystal structure of TaSi2Pb from Alexandria. Energies are from PBE.

POSCAR file:
```
TaSi2Pb
1.0
3.231 0.000 0.000
0.000 3.483 0.000
0.000 0.000 7.017
Ta Si Pb
1 2 1
direct
0.000 0.000 0.000
0.500 0.500 0.178
0.500 0.500 0.822
0.000 0.000 0.500
```

Output
Calculated total energy ... -25.844 eV for the cell shown
Symmetry ... Pmmm
Crystal system ... orthorhombic
Magnetic moment ... 0.000 μB/cell

---

(5)
Here is an optimized crystal structure of TaSi2Pb from Alexandria. Energies are from PBE.

POSCAR file:
```
TaSi2Pb
1.0
4.427 -1.667 0.000
4.427 1.667 0.000
-1.904 0.000 5.669
Ta Si Pb
1 2 1
direct
0.000 0.000 0.000
0.262 0.262 0.859
0.738 0.738 0.141
0.500 0.500 0.500
```

Output
Calculated total energy ... -25.436 eV for the cell shown
Symmetry ... C2/m
Crystal system ... monoclinic
Magnetic moment ... 0.000 μB/cell

---

(6)
Here is an optimized crystal structure of Ta2SiPb from Alexandria. Energies are from PBE.

POSCAR file:
```
Ta2SiPb
1.0
0.000 3.327 3.327
3.327 0.000 3.327
3.327 3.327 0.000
Ta Si Pb
2 1 1
direct
0.250 0.250 0.250
0.750 0.750 0.750
0.000 0.000 0.000
0.500 0.500 0.500
```

Output
Calculated total energy ... -30.885 eV for the cell shown
Symmetry ... Fm-3m
Crystal system ... cubic
Magnetic moment ... 0.000 μB/cell
Energy above the most stable polymorph in this dataset ... 338 meV/atom

---

(7)
Here is an optimized crystal structure of TaSi4Pb from Alexandria. Energies are from PBE.

POSCAR file:
```
TaSi4Pb
1.0
0.000 3.678 3.678
3.678 0.000 3.678
3.678 3.678 0.000
Ta Si Pb
1 4 1
direct
0.000 0.000 0.000
0.120 0.627 0.627
0.627 0.120 0.627
0.627 0.627 0.120
0.627 0.627 0.627
0.250 0.250 0.250
```

Output
Calculated total energy ... -34.330 eV for the cell shown
Symmetry ... F-43m
Crystal system ... cubic
Magnetic moment ... 0.000 μB/cell

---

(8)
Here is an optimized crystal structure of TaSiPb2 from Alexandria. Energies are from PBE.

POSCAR file:
```
TaSiPb2
1.0
3.008 -5.246 0.000
3.008 5.246 0.000
-1.404 0.000 2.867
Ta Si Pb
1 1 2
direct
0.000 0.000 0.000
0.500 0.500 0.000
0.000 0.500 0.500
0.500 0.000 0.500
```

Output
Calculated total energy ... -21.661 eV for the cell shown
Symmetry ... C2/m
Crystal system ... monoclinic
Magnetic moment ... 0.000 μB/cell

---

(9)
Here is an optimized crystal structure of TaSiPb from Alexandria. Energies are from PBE.

POSCAR file:
```
TaSiPb
1.0
4.716 0.000 0.000
-2.358 4.084 0.000
0.000 0.000 3.128
Ta Si Pb
1 1 1
direct
0.000 0.000 0.000
0.667 0.333 0.000
0.333 0.667 0.500
```

Output
Calculated total energy ... -19.485 eV for the cell shown
Symmetry ... P-6m2
Crystal system ... hexagonal
Magnetic moment ... 0.000 μB/cell
Energy above the most stable polymorph in this dataset ... 323 meV/atom

---

(10)
Here is an optimized crystal structure of Ta2SiPb from Alexandria. Energies are from PBE.

POSCAR file:
```
Ta2SiPb
1.0
1.545 0.892 9.623
-1.545 0.892 9.623
0.000 -1.784 9.623
Ta Si Pb
2 1 1
direct
0.000 0.000 0.000
0.251 0.251 0.251
0.736 0.736 0.736
0.494 0.494 0.494
```

Output
Calculated total energy ... -31.249 eV for the cell shown
Symmetry ... R3m
Crystal system ... trigonal
Magnetic moment ... 0.001 μB/cell
Energy above the most stable polymorph in this dataset ... 247 meV/atom

---

(11)
Here is an optimized crystal structure of Ta2SiPb from Alexandria. Energies are from PBE.

POSCAR file:
```
Ta2SiPb
1.0
1.823 -2.379 0.000
1.823 2.379 0.000
0.000 0.000 9.446
Ta Si Pb
2 1 1
direct
0.000 0.000 0.000
0.500 0.500 0.229
0.000 0.000 0.425
0.500 0.500 0.727
```

Output
Calculated total energy ... -31.685 eV for the cell shown
Symmetry ... Cmm2
Crystal system ... orthorhombic
Magnetic moment ... 0.000 μB/cell
Energy above the most stable polymorph in this dataset ... 138 meV/atom

---

(12)
Here is an optimized crystal structure of TaSi3Pb from Alexandria. Energies are from PBE.

POSCAR file:
```
TaSi3Pb
1.0
4.936 0.000 0.000
0.000 4.936 0.000
0.000 0.000 4.936
Ta Si Pb
1 3 1
direct
0.000 0.000 0.000
0.000 0.000 0.500
0.000 0.500 0.000
0.500 0.000 0.000
0.500 0.500 0.500
```

Output
Calculated total energy ... -29.018 eV for the cell shown
Symmetry ... Pm-3m
Crystal system ... cubic
Magnetic moment ... 0.000 μB/cell
Energy above the most stable polymorph in this dataset ... 0 meV/atom

---

(13)
Here is an optimized crystal structure of TaSiPb2 from Alexandria. Energies are from PBE.

POSCAR file:
```
TaSiPb2
1.0
5.767 -1.528 0.000
5.767 1.528 0.000
-1.643 0.000 5.162
Ta Si Pb
1 1 2
direct
0.000 0.000 0.000
0.322 0.322 0.708
0.558 0.558 0.534
0.758 0.758 0.164
```

Output
Calculated total energy ... -22.753 eV for the cell shown
Symmetry ... Cm
Crystal system ... monoclinic
Magnetic moment ... 0.000 μB/cell

---

(14)
Here is an optimized crystal structure of Ta2SiPb from Alexandria. Energies are from PBE.

POSCAR file:
```
Ta2SiPb
1.0
2.899 0.000 0.000
0.000 2.899 0.000
0.000 0.000 10.017
Ta Si Pb
2 1 1
direct
0.000 0.000 0.000
0.500 0.500 0.226
0.500 0.500 0.805
0.000 0.000 0.484
```

Output
Calculated total energy ... -31.338 eV for the cell shown
Symmetry ... P4mm
Crystal system ... tetragonal
Magnetic moment ... 0.000 μB/cell
Energy above the most stable polymorph in this dataset ... 224 meV/atom

---

(15)
Here is an optimized crystal structure of TaSiPb from Alexandria. Energies are from PBE.

POSCAR file:
```
TaSiPb
1.0
0.000 2.382 7.176
1.874 0.000 7.176
1.874 2.382 0.000
Ta Si Pb
1 1 1
direct
0.000 0.000 0.000
0.625 0.625 0.375
0.325 0.325 0.675
```

Output
Calculated total energy ... -19.786 eV for the cell shown
Symmetry ... Fmm2
Crystal system ... orthorhombic
Magnetic moment ... 0.000 μB/cell
Energy above the most stable polymorph in this dataset ... 222 meV/atom

---

(16)
Here is an optimized crystal structure of Ta2SiPb from Alexandria. Energies are from PBE.

POSCAR file:
```
Ta2SiPb
1.0
4.615 0.000 0.000
0.000 4.615 0.000
0.000 0.000 3.477
Ta Si Pb
2 1 1
direct
0.000 0.500 0.000
0.500 0.000 0.000
0.000 0.000 0.500
0.500 0.500 0.500
```

Output
Calculated total energy ... -30.817 eV for the cell shown
Symmetry ... P4/mmm
Crystal system ... tetragonal
Magnetic moment ... 0.000 μB/cell
Energy above the most stable polymorph in this dataset ... 355 meV/atom

---

(17)
Here is an optimized crystal structure of Ta2SiPb from Alexandria. Energies are from PBE.

POSCAR file:
```
Ta2SiPb
1.0
-1.822 2.496 4.131
1.822 -2.496 4.131
1.822 2.496 -4.131
Ta Si Pb
2 1 1
direct
0.214 0.214 0.000
0.786 0.786 0.000
0.000 0.500 0.500
0.500 0.000 0.500
```

Output
Calculated total energy ... -31.823 eV for the cell shown
Symmetry ... Immm
Crystal system ... orthorhombic
Magnetic moment ... 0.000 μB/cell
Energy above the most stable polymorph in this dataset ... 103 meV/atom

---

(18)
Here is an optimized crystal structure of Ta3SiPb from Alexandria. Energies are from PBE.

POSCAR file:
```
Ta3SiPb
1.0
5.095 0.000 0.000
0.000 5.095 0.000
0.000 0.000 5.095
Ta Si Pb
3 1 1
direct
0.000 0.000 0.500
0.000 0.500 0.000
0.500 0.000 0.000
0.500 0.500 0.500
0.000 0.000 0.000
```

Output
Calculated total energy ... -31.742 eV for the cell shown
Symmetry ... Pm-3m
Crystal system ... cubic
Magnetic moment ... 0.000 μB/cell
Energy above the most stable polymorph in this dataset ... 1744 meV/atom

---

(19)
Here is an optimized crystal structure of Ta3SiPb from Alexandria. Energies are from PBE.

POSCAR file:
```
Ta3SiPb
1.0
4.722 0.000 0.000
0.000 4.722 0.000
0.000 0.000 4.722
Ta Si Pb
3 1 1
direct
0.000 0.000 0.500
0.000 0.500 0.000
0.500 0.000 0.000
0.000 0.000 0.000
0.500 0.500 0.500
```

Output
Calculated total energy ... -40.463 eV for the cell shown
Symmetry ... Pm-3m
Crystal system ... cubic
Magnetic moment ... 0.000 μB/cell
Energy above the most stable polymorph in this dataset ... 0 meV/atom

---

(20)
Here is an optimized crystal structure of Ta2SiPb from Alexandria. Energies are from PBE.

POSCAR file:
```
Ta2SiPb
1.0
0.000 3.388 3.388
3.388 0.000 3.388
3.388 3.388 0.000
Ta Si Pb
2 1 1
direct
0.000 0.000 0.000
0.250 0.250 0.250
0.750 0.750 0.750
0.500 0.500 0.500
```

Output
Calculated total energy ... -30.146 eV for the cell shown
Symmetry ... F-43m
Crystal system ... cubic
Magnetic moment ... 0.001 μB/cell
Energy above the most stable polymorph in this dataset ... 522 meV/atom

---

(21)
Here is an optimized crystal structure of TaSi2Pb from Alexandria. Energies are from PBE.

POSCAR file:
```
TaSi2Pb
1.0
1.526 0.881 10.107
-1.526 0.881 10.107
0.000 -1.762 10.107
Ta Si Pb
1 2 1
direct
0.000 0.000 0.000
0.465 0.465 0.465
0.736 0.736 0.736
0.245 0.245 0.245
```

Output
Calculated total energy ... -24.609 eV for the cell shown
Symmetry ... R3m
Crystal system ... trigonal
Magnetic moment ... 0.000 μB/cell

---

(22)
Here is an optimized crystal structure of Ta4SiPb from Alexandria. Energies are from PBE.

POSCAR file:
```
Ta4SiPb
1.0
0.000 3.915 3.915
3.915 0.000 3.915
3.915 3.915 0.000
Ta Si Pb
4 1 1
direct
0.125 0.125 0.125
0.125 0.125 0.624
0.125 0.624 0.125
0.624 0.125 0.125
0.500 0.500 0.500
0.750 0.750 0.750
```

Output
Calculated total energy ... -52.965 eV for the cell shown
Symmetry ... F-43m
Crystal system ... cubic
Magnetic moment ... 0.000 μB/cell

---

(23)
Here is an optimized crystal structure of TaSi2Pb from Alexandria. Energies are from PBE.

POSCAR file:
```
TaSi2Pb
1.0
-1.704 2.458 4.355
1.704 -2.458 4.355
1.704 2.458 -4.355
Ta Si Pb
1 2 1
direct
0.000 0.000 0.000
0.554 0.554 0.000
0.753 0.253 0.500
0.287 0.787 0.500
```

Output
Calculated total energy ... -24.660 eV for the cell shown
Symmetry ... Imm2
Crystal system ... orthorhombic
Magnetic moment ... 0.000 μB/cell

---

(24)
Here is an optimized crystal structure of TaSiPb from Alexandria. Energies are from PBE.

POSCAR file:
```
TaSiPb
1.0
-1.732 1.732 4.967
1.732 -1.732 4.967
1.732 1.732 -4.967
Ta Si Pb
1 1 1
direct
0.000 0.000 0.000
0.595 0.595 0.000
0.299 0.299 0.000
```

Output
Calculated total energy ... -20.453 eV for the cell shown
Symmetry ... I4mm
Crystal system ... tetragonal
Magnetic moment ... 0.000 μB/cell
Energy above the most stable polymorph in this dataset ... 0 meV/atom

---

(25)
Here is an optimized crystal structure of TaSi2Pb from Alexandria. Energies are from PBE.

POSCAR file:
```
TaSi2Pb
1.0
3.168 0.000 0.000
0.000 3.563 0.000
-1.247 0.000 7.056
Ta Si Pb
1 2 1
direct
0.000 0.000 0.000
0.437 0.500 0.824
0.563 0.500 0.176
0.000 0.000 0.500
```

Output
Calculated total energy ... -25.891 eV for the cell shown
Symmetry ... P2/m
Crystal system ... monoclinic
Magnetic moment ... 0.000 μB/cell

---

(26)
Here is an optimized crystal structure of TaSiPb2 from Alexandria. Energies are from PBE.

POSCAR file:
```
TaSiPb2
1.0
3.285 -4.342 0.000
3.285 4.342 0.000
0.000 0.000 3.129
Ta Si Pb
1 1 2
direct
0.000 0.000 0.000
0.500 0.500 0.000
0.000 0.500 0.500
0.500 0.000 0.500
```

Output
Calculated total energy ... -21.778 eV for the cell shown
Symmetry ... Cmmm
Crystal system ... orthorhombic
Magnetic moment ... 0.000 μB/cell

---

(27)
Here is an optimized crystal structure of TaSiPb2 from Alexandria. Energies are from PBE.

POSCAR file:
```
TaSiPb2
1.0
-1.730 2.523 5.295
1.730 -2.523 5.295
1.730 2.523 -5.295
Ta Si Pb
1 1 2
direct
0.000 0.000 0.000
0.825 0.325 0.500
0.278 0.778 0.500
0.560 0.560 0.000
```

Output
Calculated total energy ... -22.613 eV for the cell shown
Symmetry ... Imm2
Crystal system ... orthorhombic
Magnetic moment ... 0.000 μB/cell

---

(28)
Here is an optimized crystal structure of TaSiPb2 from Alexandria. Energies are from PBE.

POSCAR file:
```
TaSiPb2
1.0
1.595 0.921 10.764
-1.595 0.921 10.764
0.000 -1.842 10.764
Ta Si Pb
1 1 2
direct
0.000 0.000 0.000
0.272 0.272 0.272
0.526 0.526 0.526
0.747 0.747 0.747
```

Output
Calculated total energy ... -23.299 eV for the cell shown
Symmetry ... R3m
Crystal system ... trigonal
Magnetic moment ... 0.000 μB/cell

---

(29)
Here is an optimized crystal structure of TaSi2Pb from Alexandria. Energies are from PBE.

POSCAR file:
```
TaSi2Pb
1.0
3.695 0.000 0.000
0.000 3.938 0.000
-1.842 0.000 5.320
Ta Si Pb
1 2 1
direct
0.000 0.000 0.000
0.308 0.000 0.614
0.846 0.500 0.688
0.600 0.500 0.201
```

Output
Calculated total energy ... -25.161 eV for the cell shown
Symmetry ... Pm
Crystal system ... monoclinic
Magnetic moment ... 0.000 μB/cell

---

(30)
Here is an optimized crystal structure of TaSiPb2 from Alexandria. Energies are from PBE.

POSCAR file:
```
TaSiPb2
1.0
3.155 0.000 0.000
0.000 4.920 0.000
-1.038 0.000 5.841
Ta Si Pb
1 1 2
direct
0.000 0.000 0.000
0.000 0.000 0.500
0.499 0.500 0.750
0.501 0.500 0.250
```

Output
Calculated total energy ... -21.772 eV for the cell shown
Symmetry ... P2/m
Crystal system ... monoclinic
Magnetic moment ... 0.000 μB/cell

---

(31)
Here is an optimized crystal structure of Ta2SiPb from Alexandria. Energies are from PBE.

POSCAR file:
```
Ta2SiPb
1.0
3.197 0.000 0.000
0.000 3.197 0.000
0.000 0.000 7.452
Ta Si Pb
2 1 1
direct
0.000 0.000 0.192
0.000 0.000 0.808
0.500 0.500 0.000
0.500 0.500 0.500
```

Output
Calculated total energy ... -32.155 eV for the cell shown
Symmetry ... P4/mmm
Crystal system ... tetragonal
Magnetic moment ... 0.000 μB/cell
Energy above the most stable polymorph in this dataset ... 20 meV/atom

---

Here are the calculated energy relative to the elements, uncorrected numbers, same order: 449, 213, 614, 141, 243, 488, 487, 758, 500, 397, 288, 562, 485, 375, 399, 505, 254, 2589, 845, 673, 449, 596, 437, 177, 129, 729, 520, 348, 312, 730, 170 (meV/atom).